Crystalline BaLi2Cl at its relaxed geometry. Source: the Alexandria database, functional GGA-PBE.

Summary:
energy relative to the lowest polymorph listed for this composition: 0.0416 eV per atom
raw formation energy: -0.726 eV per atom
V: 134.99 Å³/cell

Cell lengths 4.3854, 4.3854, 7.0192 Å; angles 90.00, 90.00, 90.00 degrees
Fractional positions:
Ba  0.0000  0.0000  0.0000
Li  0.0000  0.0000  0.5035
Li  0.5000  0.5000  0.6066
Cl  0.5000  0.5000  0.9824


Crystalline Ba2LiMgCl6 at its relaxed geometry. Source: the Alexandria database, functional GGA-PBE.

Summary:
raw formation energy: -1.959 eV per atom
V: 247.31 Å³/cell

Cell lengths 7.0456, 7.0456, 7.0456 Å; angles 60.00, 60.00, 60.00 degrees
Fractional positions:
Ba  0.2500  0.2500  0.2500
Ba  0.7500  0.7500  0.7500
Li  0.0000  0.0000  0.0000
Mg  0.5000  0.5000  0.5000
Cl  0.2515  0.2515  0.7485
Cl  0.2515  0.7485  0.2515
Cl  0.2515  0.7485  0.7485
Cl  0.7485  0.2515  0.2515
Cl  0.7485  0.2515  0.7485
Cl  0.7485  0.7485  0.2515


Crystalline Ba2LiMgCl at its relaxed geometry. Source: the Alexandria database, functional GGA-PBE.

Summary:
raw formation energy: -0.657 eV per atom
V: 189.14 Å³/cell

Cell lengths 6.3700, 6.3700, 4.6613 Å; angles 90.00, 90.00, 90.00 degrees
Fractional positions:
Ba  0.0000  0.5000  0.0000
Ba  0.5000  0.0000  0.0000
Li  0.0000  0.0000  0.5000
Mg  0.5000  0.5000  0.5000
Cl  0.0000  0.0000  0.0000


Crystalline BaLiMn2Cl8 at its relaxed geometry. Source: the Alexandria database, functional GGA-PBE.

Summary:
raw formation energy: -1.445 eV per atom
V: 328.84 Å³/cell

Cell lengths 6.6487, 6.6487, 8.5899 Å; angles 90.00, 90.00, 120.00 degrees
Fractional positions:
Ba  0.0000  0.0000  0.0000
Li  0.0000  0.0000  0.5000
Mn  0.3333  0.6667  0.7423
Mn  0.6667  0.3333  0.2576
Cl  0.0202  0.3089  0.6892
Cl  0.2887  0.9798  0.6892
Cl  0.3089  0.2887  0.3108
Cl  0.3333  0.6667  0.0056
Cl  0.6667  0.3333  0.9944
Cl  0.6911  0.7113  0.6892
Cl  0.7113  0.0202  0.3108
Cl  0.9798  0.6911  0.3108


The lowest V belongs to which entry? BaLi2Cl


What is the raw formation energy in the third record? -0.657 eV per atom


Please write out number 4 again, unchanged.
Crystalline BaLiMn2Cl8 at its relaxed geometry. Source: the Alexandria database, functional GGA-PBE.

Summary:
raw formation energy: -1.445 eV per atom
V: 328.84 Å³/cell

Cell lengths 6.6487, 6.6487, 8.5899 Å; angles 90.00, 90.00, 120.00 degrees
Fractional positions:
Ba  0.0000  0.0000  0.0000
Li  0.0000  0.0000  0.5000
Mn  0.3333  0.6667  0.7423
Mn  0.6667  0.3333  0.2576
Cl  0.0202  0.3089  0.6892
Cl  0.2887  0.9798  0.6892
Cl  0.3089  0.2887  0.3108
Cl  0.3333  0.6667  0.0056
Cl  0.6667  0.3333  0.9944
Cl  0.6911  0.7113  0.6892
Cl  0.7113  0.0202  0.3108
Cl  0.9798  0.6911  0.3108